Entry 1:
MnBi2RuPt: relaxed, PBE.

Summary:
formation enthalpy at 0 K: 1.121 eV/atom
ρ: 10.50 Mg/m³
total energy: -5.3283 eV/atom

```
data_MnBi2RuPt
_cell_length_a 5.0781
_cell_length_b 5.0781
_cell_length_c 4.7151
_cell_angle_alpha 90.00
_cell_angle_beta 90.00
_cell_angle_gamma 90.00
_symmetry_space_group_name_H-M 'P 4/m m m'
_symmetry_Int_Tables_number 123
_symmetry_space_group_name_Hall '-P 4 2'
loop_
_atom_site_label
_atom_site_type_symbol
_atom_site_fract_x
_atom_site_fract_y
_atom_site_fract_z
Mn1 Mn 0.0000 0.0000 0.0000
Bi1 Bi 0.0000 0.5000 0.0000
Ru1 Ru 0.5000 0.5000 0.5000
Pt1 Pt 0.0000 0.0000 0.5000
```

***

Entry 2:
Pu3MnBi: relaxed, PBE.

Summary:
formation enthalpy at 0 K: -0.083 eV/atom
ρ: 13.03 Mg/m³
total energy: -11.2920 eV/atom

```
data_Pu3MnBi
_cell_length_a 5.0257
_cell_length_b 5.0257
_cell_length_c 5.0257
_cell_angle_alpha 90.00
_cell_angle_beta 90.00
_cell_angle_gamma 90.00
_symmetry_space_group_name_H-M 'P m -3 m'
_symmetry_Int_Tables_number 221
_symmetry_space_group_name_Hall '-P 4 2 3'
loop_
_atom_site_label
_atom_site_type_symbol
_atom_site_fract_x
_atom_site_fract_y
_atom_site_fract_z
Pu1 Pu 0.0000 0.0000 0.5000
Mn1 Mn 0.0000 0.0000 0.0000
Bi1 Bi 0.5000 0.5000 0.5000
```

***

Entry 3:
Pu2MnBi: relaxed, PBE.

Summary:
formation enthalpy at 0 K: 0.132 eV/atom
ρ: 13.06 Mg/m³
total energy: -10.2970 eV/atom

```
data_Pu2MnBi
_cell_length_a 4.3514
_cell_length_b 4.3514
_cell_length_c 5.0478
_cell_angle_alpha 90.00
_cell_angle_beta 90.00
_cell_angle_gamma 90.00
_symmetry_space_group_name_H-M 'P 4/m m m'
_symmetry_Int_Tables_number 123
_symmetry_space_group_name_Hall '-P 4 2'
loop_
_atom_site_label
_atom_site_type_symbol
_atom_site_fract_x
_atom_site_fract_y
_atom_site_fract_z
Pu1 Pu 0.0000 0.5000 0.0000
Mn1 Mn 0.0000 0.0000 0.5000
Bi1 Bi 0.5000 0.5000 0.5000
```

***

Entry 4:
Pu2MnBi: relaxed, PBE.

Summary:
formation enthalpy at 0 K: -0.104 eV/atom
ρ: 13.21 Mg/m³
total energy: -10.5326 eV/atom

```
data_Pu2MnBi
_cell_length_a 3.2851
_cell_length_b 3.2851
_cell_length_c 8.7616
_cell_angle_alpha 90.00
_cell_angle_beta 90.00
_cell_angle_gamma 90.00
_symmetry_space_group_name_H-M 'P 4/m m m'
_symmetry_Int_Tables_number 123
_symmetry_space_group_name_Hall '-P 4 2'
loop_
_atom_site_label
_atom_site_type_symbol
_atom_site_fract_x
_atom_site_fract_y
_atom_site_fract_z
Pu1 Pu 0.0000 0.0000 0.2033
Mn1 Mn 0.5000 0.5000 0.0000
Bi1 Bi 0.5000 0.5000 0.5000
```

***

Entry 5:
PuMnBi2: relaxed, PBE.

Summary:
formation enthalpy at 0 K: 0.064 eV/atom
ρ: 11.06 Mg/m³
total energy: -7.7514 eV/atom

```
data_PuMnBi2
_cell_length_a 4.8444
_cell_length_b 4.8444
_cell_length_c 15.8811
_cell_angle_alpha 90.00
_cell_angle_beta 90.00
_cell_angle_gamma 120.00
_symmetry_space_group_name_H-M 'R -3 m'
_symmetry_Int_Tables_number 166
_symmetry_space_group_name_Hall '-R 3 2"'
loop_
_atom_site_label
_atom_site_type_symbol
_atom_site_fract_x
_atom_site_fract_y
_atom_site_fract_z
Pu1 Pu 0.0000 0.0000 0.0000
Mn1 Mn 0.0000 0.0000 0.5000
Bi1 Bi 0.0000 0.0000 0.2348
```

***

Entry 6:
RbMn2Bi: relaxed, PBE.

Summary:
formation enthalpy at 0 K: 0.653 eV/atom
ρ: 4.57 Mg/m³
total energy: -5.1435 eV/atom

```
data_RbMn2Bi
_cell_length_a 5.5393
_cell_length_b 5.5393
_cell_length_c 19.1322
_cell_angle_alpha 90.00
_cell_angle_beta 90.00
_cell_angle_gamma 90.00
_symmetry_space_group_name_H-M 'I 41/a m d'
_symmetry_Int_Tables_number 141
loop_
_symmetry_equiv_pos_as_xyz
'x,y,z'
'-x,-y,-z'
'-y+1/4,x+3/4,z+1/4'
'y+1/4,-x+3/4,-z+1/4'
'-x+1/2,-y,z+1/2'
'x+1/2,y,-z+1/2'
'y+1/4,-x+1/4,z+3/4'
'-y+1/4,x+1/4,-z+3/4'
'x,-y,-z'
'-x,y,z'
'-y+1/4,-x+1/4,-z+3/4'
'y+1/4,x+1/4,z+3/4'
'-x+1/2,y,-z+1/2'
'x+1/2,-y,z+1/2'
'y+1/4,x+3/4,-z+1/4'
'-y+1/4,-x+3/4,z+1/4'
'x+1/2,y+1/2,z+1/2'
'-x+1/2,-y+1/2,-z+1/2'
'-y+3/4,x+1/4,z+3/4'
'y+3/4,-x+1/4,-z+3/4'
'-x,-y+1/2,z'
'x,y+1/2,-z'
'y+3/4,-x+3/4,z+1/4'
'-y+3/4,x+3/4,-z+1/4'
'x+1/2,-y+1/2,-z+1/2'
'-x+1/2,y+1/2,z+1/2'
'-y+3/4,-x+3/4,-z+1/4'
'y+3/4,x+3/4,z+1/4'
'-x,y+1/2,-z'
'x,-y+1/2,z'
'y+3/4,x+1/4,-z+3/4'
'-y+3/4,-x+1/4,z+3/4'
loop_
_atom_site_label
_atom_site_type_symbol
_atom_site_fract_x
_atom_site_fract_y
_atom_site_fract_z
Rb1 Rb 0.0000 0.2500 0.3750
Mn1 Mn 0.0000 0.0000 0.0000
Bi1 Bi 0.0000 0.2500 0.8750
```

***

> Number 1 is which compound?

MnBi2RuPt

***

> Look up the total energy of the sixth one.

-5.1435 eV/atom

***

> Which value of total energy does entry 6 give?

-5.1435 eV/atom

***

> What is the total energy in the third record?

-10.2970 eV/atom